A plane-wave DFT calculation with PBE-GGA was carried out for a geometry-optimized NaPb2I5 structure.

Computed properties:
Formation energy (no corrections) = -774 meV per atom
Crystal system = monoclinic
Space-group type = C2/c
Total moment = 0.000 μB per formula unit

POSCAR file:
```
NaPb2I5
1.0
7.999 -4.087 0.000
7.999 4.087 0.000
-4.452 0.000 10.912
Na Pb I
2 4 10
Cartesian
0.000 0.000 0.000
-2.226 0.000 5.456
2.573 0.034 8.669
4.799 -0.034 3.214
6.746 0.034 7.698
8.972 -0.034 2.242
0.217 1.333 7.042
4.659 2.516 8.184
6.317 1.380 0.605
2.443 -1.333 1.586
7.454 1.380 4.851
4.091 -1.380 6.061
9.102 1.333 9.326
5.228 -1.380 10.307
6.886 -2.516 2.728
11.328 -1.333 3.870
```



A plane-wave DFT calculation with PBE-GGA was carried out for a geometry-optimized Pm6Sn12Hg structure.

Computed properties:
Formation energy = -8.66 eV/f.u.
Crystal system = trigonal
Space-group type = R-3
Total moment = 0.000 μB per formula unit

POSCAR file:
```
Pm6Sn12Hg
1.0
6.585 3.802 3.625
-6.585 3.802 3.625
0.000 -7.604 3.625
Pm Sn Hg
6 12 1
Cartesian
-1.682 -1.752 2.806
-0.676 2.333 2.806
2.359 -0.581 2.806
-2.359 0.581 8.068
0.676 -2.333 8.068
1.682 1.752 8.068
-0.593 -4.995 2.896
-4.029 3.011 2.896
-2.936 0.628 4.693
-4.622 -1.984 7.978
-2.012 -2.229 6.181
0.924 -2.857 4.693
-0.924 2.857 6.181
2.012 2.229 4.693
4.622 1.984 2.896
2.936 -0.628 6.181
4.029 -3.011 7.978
0.593 4.995 7.978
0.000 0.000 5.437
```